# 1
## Nb2AlCr3 (PBE)

Data for crystalline Nb2AlCr3 at its relaxed geometry.

Summary:
total magnetization: 0.0 μB/cell
formation energy: -0.173 eV per atom

Cell and atoms, written as CIF:
```
data_Nb2AlCr3
_cell_length_a 4.8449
_cell_length_b 4.8449
_cell_length_c 12.6943
_cell_angle_alpha 90.00
_cell_angle_beta 90.00
_cell_angle_gamma 120.00
_space_group_name_H-M_alt 'R -3 m'
_space_group_IT_number 166
_space_group_name_Hall '-R 3 2"'
loop_
_atom_site_label
_atom_site_fract_x
_atom_site_fract_y
_atom_site_fract_z
Nb1 0.0000 0.0000 0.1225
Al1 0.0000 0.0000 0.5000
Cr1 0.0000 0.5000 0.0000
```


# 2
## LaScSi2Pd5 (PBE)

Data for crystalline LaScSi2Pd5 at its relaxed geometry.

Summary:
total magnetization: 0.0 μB/cell
E_form (uncorrected): -0.818 eV per atom

Cell and atoms, written as CIF:
```
data_LaScSi2Pd5
_cell_length_a 4.1849
_cell_length_b 4.1849
_cell_length_c 9.0493
_cell_angle_alpha 90.00
_cell_angle_beta 90.00
_cell_angle_gamma 90.00
_space_group_name_H-M_alt 'P 4/m m m'
_space_group_IT_number 123
_space_group_name_Hall '-P 4 2'
loop_
_atom_site_label
_atom_site_fract_x
_atom_site_fract_y
_atom_site_fract_z
La1 0.0000 0.0000 0.0000
Sc1 0.0000 0.0000 0.5000
Si1 0.5000 0.5000 0.3734
Pd1 0.0000 0.5000 0.2426
Pd2 0.5000 0.5000 0.0000
```


# 3
## NbVFe2Au (PBE)

Data for crystalline NbVFe2Au at its relaxed geometry.

Summary:
total magnetization: 0.1 μB/cell
formation energy: 1.674 eV per atom

Cell and atoms, written as CIF:
```
data_NbVFe2Au
_cell_length_a 4.3388
_cell_length_b 4.3388
_cell_length_c 5.0605
_cell_angle_alpha 90.00
_cell_angle_beta 90.00
_cell_angle_gamma 90.00
_space_group_name_H-M_alt 'P 4/m m m'
_space_group_IT_number 123
_space_group_name_Hall '-P 4 2'
loop_
_atom_site_label
_atom_site_fract_x
_atom_site_fract_y
_atom_site_fract_z
Nb1 0.0000 0.0000 0.0000
V1 0.5000 0.5000 0.5000
Fe1 0.0000 0.5000 0.0000
Au1 0.0000 0.0000 0.5000
```


# 4
## Pr3Nd2Y6Pb (PBE)

Data for crystalline Pr3Nd2Y6Pb at its relaxed geometry.

Summary:
total magnetization: 0.0 μB/cell
formation energy: -0.073 eV per atom

Cell and atoms, written as CIF:
```
data_Pr3Nd2Y6Pb
_cell_length_a 6.2248
_cell_length_b 10.7805
_cell_length_c 11.8629
_cell_angle_alpha 90.00
_cell_angle_beta 100.13
_cell_angle_gamma 90.00
_space_group_name_H-M_alt 'C 1 2/m 1'
_space_group_IT_number 12
loop_
_space_group_symop_operation_xyz
'x,y,z'
'-x,-y,-z'
'-x,y,-z'
'x,-y,z'
'x+1/2,y+1/2,z'
'-x+1/2,-y+1/2,-z'
'-x+1/2,y+1/2,-z'
'x+1/2,-y+1/2,z'
loop_
_atom_site_label
_atom_site_fract_x
_atom_site_fract_y
_atom_site_fract_z
Pr1 0.0000 0.0000 0.0000
Pr2 0.0000 0.3323 0.0000
Nd1 0.0000 0.1660 0.5000
Y1 0.2438 0.3373 0.7453
Y2 0.2439 0.5000 0.2537
Pb1 0.0000 0.5000 0.5000
```